1.
## AsRh3 (PBE-GGA)

Data for an optimized crystal structure of AsRh3.

Unit cell a=5.304 b=8.226 c=5.305 alpha=90.00 beta=90.00 gamma=90.00
Sites, in units of the cell vectors:
As 0.008 0.250 0.005
As 0.492 0.750 0.505
As 0.508 0.250 0.495
As 0.992 0.750 0.995
Rh 0.005 0.750 0.508
Rh 0.185 0.505 0.185
Rh 0.185 0.995 0.185
Rh 0.315 0.005 0.685
Rh 0.315 0.495 0.685
Rh 0.495 0.250 0.008
Rh 0.505 0.750 0.992
Rh 0.685 0.505 0.315
Rh 0.685 0.995 0.315
Rh 0.815 0.005 0.815
Rh 0.815 0.495 0.815
Rh 0.995 0.250 0.492

For the formation enthalpy at 0 K, the calculation gives -0.24 eV/atom. Its space-group type is Pnma (62).

2.
## AlCoAg2 (PBE-GGA)

Data for an optimized crystal structure of AlCoAg2.

Unit cell a=9.891 b=9.891 c=9.891 alpha=158.22 beta=158.22 gamma=30.99
Sites, in units of the cell vectors:
Al 0.000 0.000 0.000
Al 0.750 0.250 0.500
Co 0.250 0.750 0.500
Co 0.500 0.500 0.000
Ag 0.127 0.625 0.002
Ag 0.375 0.377 0.502
Ag 0.623 0.125 0.998
Ag 0.875 0.873 0.498

For the formation enthalpy at 0 K, the calculation gives 0.36 eV/atom. Its space-group type is I-42d (122).